ErPtPbAu: optimized geometry, GGA-PBE.

Geometry as POSCAR:
```
ErPtPbAu
1.0
4.960 0.000 0.000
2.480 4.295 0.000
2.480 1.432 4.050
Pb Au Pt Er
1 1 1 1
direct
0.500 0.500 0.500 Pb
0.250 0.250 0.250 Au
0.750 0.750 0.750 Pt
0.000 0.000 0.000 Er
```

* V: 86 Å³/cell
* space group: F-43m, No. 216
* DFT formation energy: -0.665 eV per atom
* Fermi-level density of states: 0.37 states/eV per atom
* electronic total energy: -5.062 eV/atom